# 1
A plane-wave DFT calculation with PBEsol was carried out for an optimized crystal structure of PtWAu.

Computed properties:
As for the density of states at the Fermi level: 2.77 states/eV/f.u. The calculation puts the calculated total energy at -8.1600 eV per atom. The size of the total moment comes out at 0.00 Bohr magnetons per cell. For the formation energy from the elements, the calculation gives 0.07 eV/atom.

Cell and atoms, written as extended XYZ:
```
3
Lattice="2.809 0.000 0.000 -1.405 2.433 0.000 0.000 0.000 6.929" Properties=species:S:1:pos:R:3 pbc="T T T"
Au 0.000 0.000 0.023
Pt 0.000 1.622 4.525
W 1.405 0.811 2.381
```

# 2
A plane-wave DFT calculation with PBEsol was carried out for an optimized crystal structure of PtW3Au.

Computed properties:
As for the density of states at the Fermi level: 7.30 states/eV/f.u. The calculation puts the calculated total energy at -7.6935 eV per atom. The size of the total moment comes out at 0.00 Bohr magnetons per cell. For the formation energy from the elements, the calculation gives 2.77 eV/atom.

Cell and atoms, written as extended XYZ:
```
5
Lattice="-0.342 -2.599 3.908 1.457 -3.783 -2.389 4.462 1.036 1.079" Properties=species:S:1:pos:R:3 pbc="T T T"
W -0.171 -1.300 1.954
W 2.231 0.518 0.540
Au 0.000 0.000 0.000
W 0.728 -1.892 -1.195
Pt 2.788 -2.673 1.299
```

# 3
A plane-wave DFT calculation with PBEsol was carried out for an optimized crystal structure of Pt2WAu.

Computed properties:
As for the density of states at the Fermi level: 2.30 states/eV/f.u. The calculation puts the calculated total energy at -8.1416 eV per atom. The size of the total moment comes out at 0.00 Bohr magnetons per cell. For the formation energy from the elements, the calculation gives -0.23 eV/atom.

Cell and atoms, written as extended XYZ:
```
4
Lattice="2.803 0.000 0.000 0.000 2.803 0.000 0.000 0.000 7.917" Properties=species:S:1:pos:R:3 pbc="T T T"
Pt 0.000 0.000 6.071
W 1.402 1.402 0.000
Au 1.402 1.402 3.958
Pt 0.000 0.000 1.846
```

# 4
A plane-wave DFT calculation with PBEsol was carried out for an optimized crystal structure of PtW2Au.

Computed properties:
As for the density of states at the Fermi level: 1.91 states/eV/f.u. The calculation puts the calculated total energy at -9.5670 eV per atom. The size of the total moment comes out at 0.00 Bohr magnetons per cell. For the formation energy from the elements, the calculation gives 0.06 eV/atom.

Cell and atoms, written as extended XYZ:
```
4
Lattice="2.756 0.000 0.000 0.000 4.512 0.000 0.000 0.000 4.979" Properties=species:S:1:pos:R:3 pbc="T T T"
Pt 1.378 2.256 1.067
W 0.000 0.000 0.166
W 0.000 2.256 3.593
Au 1.378 0.000 2.643
```

# 5
A plane-wave DFT calculation with PBEsol was carried out for an optimized crystal structure of PtW2Au.

Computed properties:
As for the density of states at the Fermi level: 2.29 states/eV/f.u. The calculation puts the calculated total energy at -9.5685 eV per atom. The size of the total moment comes out at 0.00 Bohr magnetons per cell. For the formation energy from the elements, the calculation gives 0.06 eV/atom.

Cell and atoms, written as extended XYZ:
```
4
Lattice="-2.421 -0.365 -1.253 0.343 -1.479 -2.294 -2.612 -8.693 2.358" Properties=species:S:1:pos:R:3 pbc="T T T"
W -0.114 -0.114 -0.180
Au -2.302 -5.242 -0.507
W -3.425 -7.873 -0.676
Pt -1.195 -2.576 -0.420
```

# 6
A plane-wave DFT calculation with PBEsol was carried out for an optimized crystal structure of Y2PtAu.

Computed properties:
As for the density of states at the Fermi level: 2.63 states/eV/f.u. The calculation puts the calculated total energy at -7.1399 eV per atom. The size of the total moment comes out at 0.00 Bohr magnetons per cell. For the formation energy from the elements, the calculation gives -1.01 eV/atom.

Cell and atoms, written as extended XYZ:
```
4
Lattice="3.498 0.000 0.014 0.000 4.939 0.000 -0.020 0.000 4.939" Properties=species:S:1:pos:R:3 pbc="T T T"
Au 1.307 0.000 1.865
Pt 1.291 2.469 4.318
Y 3.043 0.000 4.337
Y 3.054 2.469 1.862
```

# 7
A plane-wave DFT calculation with PBEsol was carried out for an optimized crystal structure of Y2PtAu.

Computed properties:
As for the density of states at the Fermi level: 2.22 states/eV/f.u. The calculation puts the calculated total energy at -6.8660 eV per atom. The size of the total moment comes out at 0.00 Bohr magnetons per cell. For the formation energy from the elements, the calculation gives -0.73 eV/atom.

Cell and atoms, written as extended XYZ:
```
4
Lattice="-1.975 -4.182 -1.268 2.564 -4.043 0.274 -1.037 -3.274 3.347" Properties=species:S:1:pos:R:3 pbc="T T T"
Au -0.224 -5.750 1.177
Y 0.000 0.000 0.000
Pt -0.112 -2.875 0.588
Y -0.335 -8.625 1.765
```

# 8
A plane-wave DFT calculation with PBEsol was carried out for an optimized crystal structure of YPtAu3.

Computed properties:
As for the density of states at the Fermi level: 2.73 states/eV/f.u. The calculation puts the calculated total energy at -4.8852 eV per atom. The size of the total moment comes out at 0.00 Bohr magnetons per cell. For the formation energy from the elements, the calculation gives 0.23 eV/atom.

Cell and atoms, written as extended XYZ:
```
5
Lattice="-3.677 -2.901 -1.627 2.245 -3.954 1.976 -2.454 0.729 4.246" Properties=species:S:1:pos:R:3 pbc="T T T"
Y -1.943 -3.063 2.297
Au -1.838 -1.450 -0.814
Pt 0.000 0.000 0.000
Au -1.227 0.364 2.123
Au 1.122 -1.977 0.988
```